The following is a PBE calculation of a relaxed Tm5Al2Pb crystal, from the Alexandria database.

Output
* raw total energy: -73.08 eV per cell
* ΔH_f (0 K): -0.37 eV/atom

Cell: 8.8031 8.8031 8.8031 Å, 126.83 126.83 78.53°
With the nearest neighbours (Å) after each atom.
Positions (direct):
Tm1 0.0000 0.0000 0.0000  4 Al 3.10, 2 Pb 3.41
Tm2 0.0149 0.5149 0.8220  3 Al 3.04-3.08, 2 Pb 3.28
Tm3 0.1930 0.0149 0.5000  3 Al 3.04-3.08, 2 Pb 3.28
Tm4 0.3070 0.8070 0.8220  3 Al 3.04-3.08, 2 Pb 3.28
Tm5 0.4851 0.3070 0.5000  3 Al 3.04-3.08, 2 Pb 3.28
Tm6 0.5000 0.5000 0.0000  4 Al 3.10, 2 Pb 3.41
Tm7 0.5149 0.6930 0.5000  3 Al 3.04-3.08, 2 Pb 3.28
Tm8 0.6930 0.1930 0.1780  3 Al 3.04-3.08, 2 Pb 3.28
Tm9 0.8070 0.9851 0.5000  3 Al 3.04-3.08, 2 Pb 3.28
Tm10 0.9851 0.4851 0.1780  3 Al 3.04-3.08, 2 Pb 3.28
Al1 0.1284 0.3716 0.5000  1 Al 2.86, 8 Tm 3.04-3.10
Al2 0.3716 0.8716 0.2433  1 Al 2.86, 8 Tm 3.04-3.10
Al3 0.6284 0.1284 0.7567  1 Al 2.86, 8 Tm 3.04-3.10
Al4 0.8716 0.6284 0.5000  1 Al 2.86, 8 Tm 3.04-3.10
Pb1 0.2500 0.2500 0.0000  10 Tm 3.28-3.41
Pb2 0.7500 0.7500 0.0000  10 Tm 3.28-3.41